Record 1
Density functional theory data (PBE-GGA) for Tm2Zn12Ga5 after structural relaxation.

Space group: R-3m (166)
Fermi-level density of states (states/eV/cell): 7.924

POSCAR file:
```
Tm2Zn12Ga5
1.0
4.657 2.689 4.277
-4.657 2.689 4.277
0.000 -5.378 4.277
Tm Zn Ga
2 12 5
Direct
0.168 0.168 0.168 Tm
0.832 0.832 0.832 Tm
0.152 0.152 0.679 Zn
0.152 0.679 0.152 Zn
0.177 0.500 0.823 Zn
0.177 0.823 0.500 Zn
0.321 0.848 0.848 Zn
0.500 0.177 0.823 Zn
0.500 0.823 0.177 Zn
0.679 0.152 0.152 Zn
0.823 0.177 0.500 Zn
0.823 0.500 0.177 Zn
0.848 0.321 0.848 Zn
0.848 0.848 0.321 Zn
0.000 0.500 0.500 Ga
0.400 0.400 0.400 Ga
0.500 0.000 0.500 Ga
0.500 0.500 0.000 Ga
0.600 0.600 0.600 Ga
```



Record 2
Density functional theory data (PBE-GGA) for Tm3Zn4Ga4 after structural relaxation.

Space group: Immm (71)
Fermi-level density of states (states/eV/cell): 4.514

POSCAR file:
```
Tm3Zn4Ga4
1.0
-2.144 3.379 7.103
2.144 -3.379 7.103
2.144 3.379 -7.103
Tm Zn Ga
3 4 4
Direct
0.000 0.000 0.000 Tm
0.376 0.876 0.500 Tm
0.624 0.124 0.500 Tm
0.023 0.334 0.689 Zn
0.356 0.666 0.689 Zn
0.644 0.334 0.311 Zn
0.977 0.666 0.311 Zn
0.219 0.219 0.000 Ga
0.312 0.500 0.812 Ga
0.688 0.500 0.188 Ga
0.781 0.781 0.000 Ga
```



Formation energy from the elements values, unit kJ per mole of atoms, following the record order: -14.5; -48.1.